This record from Alexandria via LeMat-Bulk describes Sr3Tl7 after structural relaxation. The functional is GGA-PBE.

```
Sr3Tl7
1.0
5.195 0.000 -1.462
-0.604 6.683 -2.144
-0.133 -0.545 9.484
Sr Tl
3 7
direct
0.200 0.634 0.400 Sr
0.800 0.366 0.600 Sr
0.000 0.000 0.000 Sr
0.801 0.878 0.603 Tl
0.389 0.135 0.778 Tl
0.000 0.500 0.000 Tl
0.413 0.650 0.825 Tl
0.587 0.350 0.175 Tl
0.611 0.865 0.222 Tl
0.199 0.122 0.397 Tl
```

Output
- Formation energy: -276 meV/atom
- Crystal system: monoclinic
- V: 321 Å³/cell
- Space-group type: C2/m, No. 12
- Total moment: 0.000 μB per atom